Entry 1:
Entry from Alexandria via LeMat-Bulk: a relaxed structure of CePIrO (PBE).

Theoretical density, g cm⁻³: 9.80
E_form (uncorrected), eV per atom: -1.998
Total energy, eV per cell: -66.3
SG: No. 129

Geometry as CIF:
```
data_CePIrO
_chemical_formula_sum 'Ce2 P2 Ir2 O2'
_symmetry_space_group_name_H-M 'P 1'
_symmetry_Int_Tables_number 1
_symmetry_space_group_name_Hall 'P 1'
_cell_length_a 3.951
_cell_length_b 3.951
_cell_length_c 8.232
_cell_angle_alpha 90.00
_cell_angle_beta 90.00
_cell_angle_gamma 90.00
loop_
_atom_site_label
_atom_site_type_symbol
_atom_site_fract_x
_atom_site_fract_y
_atom_site_fract_z
_atom_site_occupancy
Ce1 Ce 0.250 0.250 0.152 1
Ce2 Ce 0.750 0.750 0.848 1
P1 P 0.250 0.250 0.662 1
P2 P 0.750 0.750 0.338 1
Ir1 Ir 0.250 0.750 0.500 1
Ir2 Ir 0.750 0.250 0.500 1
O1 O 0.250 0.750 0.000 1
O2 O 0.750 0.250 0.000 1
```

***

Entry 2:
Entry from Alexandria via LeMat-Bulk: a relaxed structure of Nd2HoZrP4 (PBE).

Theoretical density, g cm⁻³: 6.11
Total energy, eV per cell: -56.3
SG: No. 10
Formation energy from the elements, eV/atom: -1.506

Geometry as CIF:
```
data_Nd2HoZrP4
_chemical_formula_sum 'Nd2 Ho1 Zr1 P4'
_symmetry_space_group_name_H-M 'P 1'
_symmetry_Int_Tables_number 1
_symmetry_space_group_name_Hall 'P 1'
_cell_length_a 6.928
_cell_length_b 3.998
_cell_length_c 6.950
_cell_angle_alpha 90.00
_cell_angle_beta 109.24
_cell_angle_gamma 90.00
loop_
_atom_site_label
_atom_site_type_symbol
_atom_site_fract_x
_atom_site_fract_y
_atom_site_fract_z
_atom_site_occupancy
Nd1 Nd 0.000 0.000 0.000 1
Nd2 Nd 0.500 0.500 0.000 1
Ho1 Ho 0.000 0.500 0.500 1
Zr1 Zr 0.500 0.000 0.500 1
P1 P 0.252 0.000 0.733 1
P2 P 0.264 0.500 0.271 1
P3 P 0.736 0.500 0.729 1
P4 P 0.748 0.000 0.267 1
```

***

Entry 3:
Entry from Alexandria via LeMat-Bulk: a relaxed structure of Th2Ge3Pd6 (PBE).

Theoretical density, g cm⁻³: 10.32
Total energy, eV per cell: -68.1
SG: No. 189
Formation energy from the elements, eV/atom: -0.753

Geometry as CIF:
```
data_Th2Ge3Pd6
_chemical_formula_sum 'Th2 Ge3 Pd6'
_symmetry_space_group_name_H-M 'P 1'
_symmetry_Int_Tables_number 1
_symmetry_space_group_name_Hall 'P 1'
_cell_length_a 7.468
_cell_length_b 7.468
_cell_length_c 4.397
_cell_angle_alpha 90.00
_cell_angle_beta 90.00
_cell_angle_gamma 120.00
loop_
_atom_site_label
_atom_site_type_symbol
_atom_site_fract_x
_atom_site_fract_y
_atom_site_fract_z
_atom_site_occupancy
Th1 Th 0.333 0.667 0.000 1
Th2 Th 0.667 0.333 0.000 1
Ge1 Ge 0.000 0.369 0.500 1
Ge2 Ge 0.369 0.000 0.500 1
Ge3 Ge 0.631 0.631 0.500 1
Pd1 Pd 0.000 0.212 0.000 1
Pd2 Pd 0.000 0.698 0.500 1
Pd3 Pd 0.212 0.000 0.000 1
Pd4 Pd 0.302 0.302 0.500 1
Pd5 Pd 0.698 0.000 0.500 1
Pd6 Pd 0.788 0.788 0.000 1
```

***

Entry 4:
Entry from Alexandria via LeMat-Bulk: a relaxed structure of SnAsCl (PBE).

Theoretical density, g cm⁻³: 3.84
E_form (uncorrected), eV per atom: -0.414
Total energy, eV per cell: -23.5
Relative energy among the computed polymorphs, meV per atom: 49
SG: No. 8

Geometry as CIF:
```
data_SnAsCl
_chemical_formula_sum 'Sn2 As2 Cl2'
_symmetry_space_group_name_H-M 'P 1'
_symmetry_Int_Tables_number 1
_symmetry_space_group_name_Hall 'P 1'
_cell_length_a 7.178
_cell_length_b 4.148
_cell_length_c 7.052
_cell_angle_alpha 90.00
_cell_angle_beta 109.52
_cell_angle_gamma 90.00
loop_
_atom_site_label
_atom_site_type_symbol
_atom_site_fract_x
_atom_site_fract_y
_atom_site_fract_z
_atom_site_occupancy
Sn1 Sn 0.000 0.000 0.000 1
Sn2 Sn 0.500 0.500 0.000 1
As1 As 0.391 0.000 0.177 1
As2 As 0.891 0.500 0.177 1
Cl1 Cl 0.383 0.500 0.643 1
Cl2 Cl 0.883 0.000 0.643 1
```

***

Entry 5:
Entry from Alexandria via LeMat-Bulk: a relaxed structure of AgMoW (PBE).

Theoretical density, g cm⁻³: 12.65
Total energy, eV per cell: -49.8
Relative energy among the computed polymorphs, meV per atom: 191
SG: No. 107
Formation energy from the elements, eV/atom: 0.585

Geometry as CIF:
```
data_AgMoW
_chemical_formula_sum 'Ag2 Mo2 W2'
_symmetry_space_group_name_H-M 'P 1'
_symmetry_Int_Tables_number 1
_symmetry_space_group_name_Hall 'P 1'
_cell_length_a 3.290
_cell_length_b 3.290
_cell_length_c 9.398
_cell_angle_alpha 90.00
_cell_angle_beta 90.00
_cell_angle_gamma 90.00
loop_
_atom_site_label
_atom_site_type_symbol
_atom_site_fract_x
_atom_site_fract_y
_atom_site_fract_z
_atom_site_occupancy
Ag1 Ag 0.000 0.000 0.000 1
Ag2 Ag 0.500 0.500 0.500 1
Mo1 Mo 0.000 0.000 0.685 1
Mo2 Mo 0.500 0.500 0.185 1
W1 W 0.000 0.000 0.317 1
W2 W 0.500 0.500 0.817 1
```

***

Entry 6:
Entry from Alexandria via LeMat-Bulk: a relaxed structure of Cs2CdCuI (PBE).

Theoretical density, g cm⁻³: 3.72
E_form (uncorrected), eV per atom: -0.313
Total energy, eV per cell: -9.8
SG: No. 123

Geometry as CIF:
```
data_Cs2CdCuI
_chemical_formula_sum 'Cs2 Cd1 Cu1 I1'
_symmetry_space_group_name_H-M 'P 1'
_symmetry_Int_Tables_number 1
_symmetry_space_group_name_Hall 'P 1'
_cell_length_a 7.065
_cell_length_b 7.065
_cell_length_c 5.082
_cell_angle_alpha 90.00
_cell_angle_beta 90.00
_cell_angle_gamma 90.00
loop_
_atom_site_label
_atom_site_type_symbol
_atom_site_fract_x
_atom_site_fract_y
_atom_site_fract_z
_atom_site_occupancy
Cs1 Cs 0.000 0.500 0.000 1
Cs2 Cs 0.500 0.000 0.000 1
Cd1 Cd 0.000 0.000 0.000 1
Cu1 Cu 0.000 0.000 0.500 1
I1 I 0.500 0.500 0.500 1
```

***

Entry 7:
Entry from Alexandria via LeMat-Bulk: a relaxed structure of LiCdSe2Br (PBE).

Theoretical density, g cm⁻³: 3.73
E_form (uncorrected), eV per atom: -0.122
Total energy, eV per cell: -12.1
Relative energy among the computed polymorphs, meV per atom: 0
SG: No. 123

Geometry as CIF:
```
data_LiCdSe2Br
_chemical_formula_sum 'Li1 Cd1 Se2 Br1'
_symmetry_space_group_name_H-M 'P 1'
_symmetry_Int_Tables_number 1
_symmetry_space_group_name_Hall 'P 1'
_cell_length_a 5.212
_cell_length_b 5.212
_cell_length_c 5.850
_cell_angle_alpha 90.00
_cell_angle_beta 90.00
_cell_angle_gamma 90.00
loop_
_atom_site_label
_atom_site_type_symbol
_atom_site_fract_x
_atom_site_fract_y
_atom_site_fract_z
_atom_site_occupancy
Li1 Li 0.000 0.000 0.000 1
Cd1 Cd 0.500 0.500 0.500 1
Se1 Se 0.000 0.500 0.500 1
Se2 Se 0.500 0.000 0.500 1
Br1 Br 0.500 0.500 0.000 1
```

***

Entry 8:
Entry from Alexandria via LeMat-Bulk: a relaxed structure of ReAg2O5 (PBE).

Theoretical density, g cm⁻³: 6.61
E_form (uncorrected), eV per atom: -0.786
Total energy, eV per cell: -98.5
SG: No. 63

Geometry as CIF:
```
data_ReAg2O5
_chemical_formula_sum 'Re2 Ag4 O10'
_symmetry_space_group_name_H-M 'P 1'
_symmetry_Int_Tables_number 1
_symmetry_space_group_name_Hall 'P 1'
_cell_length_a 6.190
_cell_length_b 6.190
_cell_length_c 10.810
_cell_angle_alpha 90.00
_cell_angle_beta 90.00
_cell_angle_gamma 144.24
loop_
_atom_site_label
_atom_site_type_symbol
_atom_site_fract_x
_atom_site_fract_y
_atom_site_fract_z
_atom_site_occupancy
Re1 Re 0.147 0.853 0.750 1
Re2 Re 0.853 0.147 0.250 1
Ag1 Ag 0.139 0.861 0.066 1
Ag2 Ag 0.139 0.861 0.434 1
Ag3 Ag 0.861 0.139 0.566 1
Ag4 Ag 0.861 0.139 0.934 1
O1 O 0.037 0.963 0.627 1
O2 O 0.037 0.963 0.873 1
O3 O 0.260 0.740 0.621 1
O4 O 0.260 0.740 0.879 1
O5 O 0.347 0.653 0.250 1
O6 O 0.653 0.347 0.750 1
O7 O 0.740 0.260 0.121 1
O8 O 0.740 0.260 0.379 1
O9 O 0.963 0.037 0.127 1
O10 O 0.963 0.037 0.373 1
```